# 1
Below is Tm3Lu3FeSb2 after structural relaxation, with properties calculated at the PBE level.

volume: 25.37 A^3/atom
crystal system: hexagonal
energy above the most stable polymorph in this dataset: 34 meV/atom
space-group type: P-62m

Lattice parameters (Å, degrees): 8.040 8.040 4.078 90.00 90.00 120.00
Fractional coordinates of all 9 atoms:
Tm1 0.000 0.766 0.000
Tm2 0.234 0.234 0.000
Tm3 0.766 0.000 0.000
Lu1 0.000 0.391 0.500
Lu2 0.391 0.000 0.500
Lu3 0.609 0.609 0.500
Fe1 0.000 0.000 0.500
Sb1 0.333 0.667 0.000
Sb2 0.667 0.333 0.000


# 2
Below is Nb2SbN after structural relaxation, with properties calculated at the PBE level.

energy: -34.6 eV/f.u.
volume: 15.85 A^3/atom
crystal system: trigonal
space-group type: R-3c

Lattice parameters (Å, degrees): 13.503 13.503 13.503 24.78 24.78 24.78
Fractional coordinates of all 24 atoms:
Nb1 0.028 0.360 0.694
Nb2 0.140 0.472 0.806
Nb3 0.194 0.860 0.528
Nb4 0.306 0.972 0.640
Nb5 0.360 0.694 0.028
Nb6 0.472 0.806 0.140
Nb7 0.528 0.194 0.860
Nb8 0.640 0.306 0.972
Nb9 0.694 0.028 0.360
Nb10 0.806 0.140 0.472
Nb11 0.860 0.528 0.194
Nb12 0.972 0.640 0.306
Sb1 0.084 0.750 0.416
Sb2 0.250 0.584 0.916
Sb3 0.416 0.084 0.750
Sb4 0.584 0.916 0.250
Sb5 0.750 0.416 0.084
Sb6 0.916 0.250 0.584
N1 0.000 0.000 0.000
N2 0.167 0.167 0.167
N3 0.333 0.333 0.333
N4 0.500 0.500 0.500
N5 0.667 0.667 0.667
N6 0.833 0.833 0.833